Below is crystalline TiSnPd2 at its relaxed geometry, with properties calculated at the PBE-GGA level.

Calculated values
Volume (Å³/cell): 71.9
SG: R3m, No. 160
DFT formation energy (eV/atom): -0.324
VASP energy (eV/atom): -5.90

Lattice parameters (Å, degrees): 3.1498 3.1498 8.5647 79.40 79.40 60.00
Fractional coordinates of all 4 atoms:
Pd  0.2561  0.2561  0.2318
Ti  0.6667  0.6667  0.9999
Sn  0.5006  0.5006  0.4981
Pd  0.0766  0.0766  0.7702



Below is crystalline TiSnPd5 at its relaxed geometry, with properties calculated at the PBE-GGA level.

Calculated values
Volume (Å³/cell): 119.2
SG: P4/mmm, No. 123
Distance to the lowest polymorph of the same formula (meV per atom): 0
DFT formation energy (eV/atom): -0.388
VASP energy (eV/atom): -5.80

Lattice parameters (Å, degrees): 4.0929 4.0930 7.1136 90.00 90.00 90.00
Fractional coordinates of all 7 atoms:
Pd  0.0000  0.5000  0.7840
Sn  0.0000  0.0000  0.5000
Ti  0.5000  0.5000  0.0000
Pd  0.5000  0.0000  0.7840
Pd  0.5000  0.0000  0.2160
Pd  0.5000  0.5000  0.5000
Pd  0.0000  0.5000  0.2160



Below is crystalline Ti6SnPd12 at its relaxed geometry, with properties calculated at the PBE-GGA level.

Calculated values
Volume (Å³/cell): 299.7
SG: R-3, No. 148
DFT formation energy (eV/atom): -0.531
VASP energy (eV/atom): -6.51

Lattice parameters (Å, degrees): 7.4429 7.4429 7.4429 110.88 110.88 110.88
Fractional coordinates of all 19 atoms:
Pd  0.8328  0.2633  0.8863
Ti  0.6314  0.9216  0.4108
Ti  0.0784  0.5893  0.3686
Pd  0.2633  0.8863  0.8328
Ti  0.3686  0.0784  0.5893
Pd  0.3320  0.4792  0.2056
Pd  0.4792  0.2056  0.3320
Pd  0.2056  0.3320  0.4792
Pd  0.8863  0.8328  0.2633
Pd  0.5208  0.7944  0.6680
Ti  0.9216  0.4108  0.6314
Pd  0.6680  0.5208  0.7944
Ti  0.5893  0.3686  0.0784
Pd  0.7944  0.6680  0.5208
Pd  0.1137  0.1672  0.7367
Pd  0.7367  0.1137  0.1672
Sn  0.0000  0.0000  0.0000
Ti  0.4108  0.6314  0.9216
Pd  0.1672  0.7367  0.1137